Density functional theory data (PBE-GGA) for crystalline CePd12Pb6 at its relaxed geometry.

Cell lengths 7.7098, 7.7098, 7.7098 Å; angles 104.94, 104.94, 104.94 degrees
Last column: magnetic moment on the atom in μB.
Element x y z (fractional)
1 Pd 0.5000 0.8847 0.1153  0.00
2 Pd 0.9017 0.6662 0.6662  -0.01
3 Pd 0.1153 0.8847 0.5000  0.00
4 Pd 0.6662 0.9017 0.6662  -0.01
5 Pd 0.3338 0.0983 0.3338  -0.01
6 Pd 0.8847 0.1153 0.5000  0.00
7 Pd 0.3338 0.3338 0.0983  -0.01
8 Pd 0.8847 0.5000 0.1153  0.00
9 Pd 0.0983 0.3338 0.3338  -0.01
10 Pd 0.6662 0.6662 0.9017  -0.01
11 Pd 0.5000 0.1153 0.8847  0.00
12 Pd 0.1153 0.5000 0.8847  0.00
13 Pb 0.2773 0.6863 0.2773  0.00
14 Pb 0.7227 0.3137 0.7227  0.00
15 Pb 0.2773 0.2773 0.6863  0.00
16 Pb 0.6863 0.2773 0.2773  0.00
17 Pb 0.3137 0.7227 0.7227  0.00
18 Pb 0.7227 0.7227 0.3137  0.00
19 Ce 0.0000 0.0000 0.0000  0.57

Values from the calculation:
ΔH_f (0 K) ... -19.5 kJ/mol of atoms
Total magnetic moment ... 0.0281 μB/atom
Electronic total energy ... -94.35 eV per formula unit